(1)
Sr2MgOs: optimized geometry, PBEsol.

```
data_Sr2MgOs
_symmetry_space_group_name_H-M 'P 4/m m m'
_symmetry_Int_Tables_number 123
_symmetry_space_group_name_Hall '-P 4 2'
_cell_length_a 4.872
_cell_length_b 4.872
_cell_length_c 4.315
_cell_angle_alpha 90.00
_cell_angle_beta 90.00
_cell_angle_gamma 90.00
loop_
_atom_site_label
_atom_site_fract_x
_atom_site_fract_y
_atom_site_fract_z
Sr1 0.000 0.500 0.000
Mg1 0.000 0.000 0.500
Os1 0.500 0.500 0.500
```

Computed properties:
DOS(E_F) ... 0.790 states/eV/atom
Energy relative to the elements ... 0.653 eV per atom
Energy ... -3.751 eV/atom

(2)
ReWBr: optimized geometry, PBEsol.

```
data_ReWBr
_symmetry_space_group_name_H-M 'I m m 2'
_symmetry_Int_Tables_number 44
_symmetry_space_group_name_Hall 'I 2 -2'
_cell_length_a 2.931
_cell_length_b 4.131
_cell_length_c 7.895
_cell_angle_alpha 90.00
_cell_angle_beta 90.00
_cell_angle_gamma 90.00
loop_
_atom_site_label
_atom_site_fract_x
_atom_site_fract_y
_atom_site_fract_z
Re1 0.000 0.000 0.000
W1 0.000 0.000 0.659
Br1 0.000 0.000 0.330
```

Computed properties:
Formation energy from raw total energies ... 1151 meV per atom
DOS(E_F) ... 0.789 states/eV/atom
Energy ... -8.519 eV/atom